# 1
A plane-wave DFT calculation with PBE was carried out for a relaxed structure of K10Se4S.

a b c (Å): 7.684 9.408 9.408
angles (deg): 80.40 65.90 65.90
Positions (direct):
1 Se 0.400 0.802 0.399
2 K 0.853 0.705 0.098
3 K 0.250 0.500 0.500
4 Se 0.799 0.601 0.802
5 K 0.750 0.500 0.500
6 K 0.558 0.098 0.295
7 Se 0.201 0.399 0.198
8 Se 0.600 0.198 0.601
9 K 0.951 0.902 0.705
10 K 0.147 0.295 0.902
11 K 0.344 0.705 0.098
12 K 0.442 0.902 0.705
13 K 0.049 0.098 0.295
14 K 0.656 0.295 0.902
15 S 0.000 0.000 0.000

Values from the calculation:
symmetry: I4/m (87)
ρ: 2.165 Mg/m³
E_form (uncorrected): -1.10 eV/atom

=====

# 2
A plane-wave DFT calculation with PBE was carried out for a relaxed structure of TbPm6Tm4.

a b c (Å): 6.649 6.649 9.709
angles (deg): 110.02 110.02 90.00
Positions (direct):
1 Pm 0.134 0.134 0.647
2 Tm 0.054 0.695 0.749
3 Pm 0.513 0.513 0.647
4 Tm 0.946 0.946 0.251
5 Tb 0.500 0.500 0.000
6 Pm 0.000 0.500 0.000
7 Pm 0.500 0.000 0.000
8 Tm 0.695 0.054 0.749
9 Pm 0.487 0.866 0.353
10 Tm 0.305 0.305 0.251
11 Pm 0.866 0.487 0.353

Values from the calculation:
symmetry: I-42m (121)
ρ: 7.538 Mg/m³
energy of formation from the pure elements: 0.31 eV per atom